# Cs2ZnRu | Alexandria | GGA-PBE | relaxed
data_Cs2ZnRu
_cell_length_a 12.2432
_cell_length_b 12.2432
_cell_length_c 4.9248
_cell_angle_alpha 90.00
_cell_angle_beta 90.00
_cell_angle_gamma 90.00
_symmetry_space_group_name_H-M 'I -4 2 d'
_symmetry_Int_Tables_number 122
_symmetry_space_group_name_Hall 'I -4 2bw'
loop_
_atom_site_label
_atom_site_fract_x
_atom_site_fract_y
_atom_site_fract_z
Cs1 0.0081 0.2500 0.1250
Zn1 0.0000 0.0000 0.5000
Ru1 0.0000 0.0000 0.0000
# Electronic total energy (eV per atom): -2.343
# Volume (A^3/atom): 46.1
# DOS(E_F) (states/eV/f.u.): 2.7
# ΔH_f (0 K) (eV/f.u.): 2.883
# Distance to the lowest polymorph of the same formula (eV per atom): 0.000